DFT (PBE-GGA) results for a relaxed structure of Er3Bi2C.

Results
Total moment: 0.000 μB/atom
Formation energy: -0.4438 eV/atom

Cell lengths 5.9489, 15.3548, 3.5099 Å; angles 90.00, 90.00, 90.00 degrees
Closest atoms and distances in Å follow each position.
Space group Cmmm (No. 65)
Inequivalent atoms, fractional coordinates:
Er: 0.0000 0.0000 0.0000 (multiplicity 2)  2 C 2.97, 4 Bi 3.20
Er: 0.0000 0.3957 0.5000 (multiplicity 4)  2 C 2.38
Bi: 0.0000 0.1746 0.5000 (multiplicity 4)  5 Er 3.16-3.39, 2 Bi 3.51
C: 0.0000 0.5000 0.0000 (multiplicity 2)  4 Er 2.38

DFT (PBE-GGA) results for a relaxed structure of NaCd8In3.

Results
Total moment: 0.000 μB/atom
Formation energy: 0.0027 eV/atom

Cell lengths 5.9582, 5.9582, 29.4260 Å; angles 90.00, 90.00, 120.00 degrees
Closest atoms and distances in Å follow each position.
Space group R3m (No. 160, hexagonal axes)
Inequivalent atoms, fractional coordinates:
Na: 0.0000 0.0000 0.0000 (multiplicity 3)  12 Cd 3.49-3.52, 4 In 3.64-3.71
Cd: 0.0000 0.0000 0.3129 (multiplicity 3)  6 Cd 2.98-3.01
Cd: 0.0000 0.0000 0.8123 (multiplicity 3)  6 Cd 3.00
Cd: 0.0003 0.5001 0.5624 (multiplicity 9)  6 Cd 2.98-3.01
Cd: 0.0006 0.5003 0.0623 (multiplicity 9)  6 Cd 2.97-3.00
In: 0.0000 0.0000 0.1261 (multiplicity 3)  12 Cd 3.49-3.52, 3 In 3.65, 1 Na 3.71
In: 0.0000 0.0000 0.5007 (multiplicity 3)  12 Cd 3.49-3.54, 4 In 3.65-3.71
In: 0.0000 0.0000 0.6267 (multiplicity 3)  12 Cd 3.47-3.53, 3 Na 3.64, 1 In 3.71

DFT (PBE-GGA) results for a relaxed structure of Ca6GaCu2.

Results
Total moment: 0.000 μB/atom
Formation energy: -0.1658 eV/atom

Cell lengths 9.7426, 10.0024, 10.7183 Å; angles 90.00, 90.00, 90.00 degrees
Closest atoms and distances in Å follow each position.
Space group Immm (No. 71)
Inequivalent atoms, fractional coordinates:
Ca: 0.0000 0.1920 0.2412 (multiplicity 8)  2 Cu 3.10-3.44, 2 Ga 3.22-3.37
Ca: 0.2015 0.5000 0.1720 (multiplicity 8)  3 Cu 3.00-3.02
Ca: 0.2207 0.3182 0.5000 (multiplicity 8)  3 Cu 3.08-3.27, 1 Ga 3.27
Ga: 0.0000 0.0000 0.0000 (multiplicity 2)  8 Ca 3.22-3.27
Ga: 0.0000 0.0000 0.5000 (multiplicity 2)  8 Ca 3.37-3.44
Cu: 0.0000 0.3637 0.0000 (multiplicity 4)  1 Cu 2.73, 4 Ca 3.02
Cu: 0.0000 0.5000 0.3841 (multiplicity 4)  1 Cu 2.49

DFT (PBE-GGA) results for a relaxed structure of Ca2Ac5Nd3.

Results
Total moment: 0.000 μB/atom
Formation energy: 0.0930 eV/atom

Cell lengths 19.7417, 3.8054, 11.7125 Å; angles 90.00, 108.26, 90.00 degrees
Closest atoms and distances in Å follow each position.
Space group C2/m (No. 12)
Inequivalent atoms, fractional coordinates:
Ca: 0.1887 0.0000 0.0991 (multiplicity 4)  2 Ca 3.81, 7 Ac 3.96-4.08, 2 Nd 4.08
Ac: 0.0000 0.5000 0.0000 (multiplicity 2)  2 Nd 3.68, 4 Ac 3.72-3.81, 4 Ca 4.02
Ac: 0.1001 0.5000 0.7791 (multiplicity 4)  5 Ac 3.72-3.86, 3 Nd 3.72-3.76, 3 Ca 3.96-4.08
Ac: 0.2028 0.0000 0.5984 (multiplicity 4)  4 Nd 3.74-3.80, 6 Ac 3.81-3.89, 2 Ca 4.00
Nd: 0.0000 0.0000 0.5000 (multiplicity 2)  6 Nd 3.76-3.81, 6 Ac 3.76-3.80
Nd: 0.0983 0.5000 0.3238 (multiplicity 4)  5 Ac 3.68-3.75, 4 Nd 3.76-3.81, 2 Ca 4.08

DFT (PBE-GGA) results for a relaxed structure of Li2PaAg.

Results
Total moment: 0.002 μB/atom
Formation energy: 0.1230 eV/atom

Cell lengths 2.9745, 2.9745, 31.6149 Å; angles 90.00, 90.00, 120.00 degrees
Closest atoms and distances in Å follow each position.
Space group R-3m (No. 166, hexagonal axes)
Inequivalent atoms, fractional coordinates:
Li: 0.0000 0.0000 0.0962 (multiplicity 6)  3 Ag 2.81, 6 Li 2.97, 1 Pa 3.04
Pa: 0.0000 0.0000 0.0000 (multiplicity 3)  6 Pa 2.97, 2 Li 3.04
Ag: 0.0000 0.0000 0.5000 (multiplicity 3)  6 Li 2.81, 6 Ag 2.97

DFT (PBE-GGA) results for a relaxed structure of Tb7CeHo2.

Results
Total moment: 0.148 μB/atom
Formation energy: 0.7222 eV/atom

Cell lengths 8.7190, 16.5583, 5.4641 Å; angles 90.00, 90.00, 90.00 degrees
Closest atoms and distances in Å follow each position.
Space group Cmmm (No. 65)
Inequivalent atoms, fractional coordinates:
Tb: 0.0000 0.0000 0.0000 (multiplicity 2)  2 Ho 3.37, 4 Tb 3.37
Tb: 0.0000 0.2933 0.5000 (multiplicity 4)  2 Ho 3.11, 1 Ce 3.42
Tb: 0.1773 0.3878 0.0000 (multiplicity 8)  2 Tb 3.09-3.37, 2 Ho 3.19-3.42
Ce: 0.0000 0.5000 0.5000 (multiplicity 2)  10 Tb 3.42-3.65
Ho: 0.0000 0.2035 0.0000 (multiplicity 4)  7 Tb 3.11-3.42

DFT (PBE-GGA) results for a relaxed structure of ErTmSeS.

Results
Formation energy without anion corrections: -1.842 eV per atom
Total moment: 0.000 μB/atom

Cell lengths 3.8481, 3.8481, 20.4066 Å; angles 90.00, 90.00, 120.00 degrees
Closest atoms and distances in Å follow each position.
Space group R3m (No. 160, hexagonal axes)
Inequivalent atoms, fractional coordinates:
Er: 0.0000 0.0000 0.0000 (multiplicity 3)  3 S 2.72, 3 Se 2.94
Tm: 0.0000 0.0000 0.8150 (multiplicity 3)  3 S 2.66, 3 Se 2.89
Se: 0.0000 0.0000 0.2392 (multiplicity 3)  3 Tm 2.89, 3 Er 2.94
S: 0.0000 0.0000 0.4103 (multiplicity 3)  3 Tm 2.66, 3 Er 2.72